Model A:
Pm7PrTm2 | PBE | relaxed

Values from the calculation:
space group = Cmmm
M_tot = 0.0 μB/cell
calculated volume = 36.0 Å³/atom

a = 10.4208 Å, b = 10.4208 Å, c = 3.5080 Å
α = 90.00°, β = 90.00°, γ = 109.24°
Element x y z (fractional)
Pm 0.0000 0.0000 0.0000
Pm 0.1110 0.3766 0.0000
Pm 0.1769 0.8231 0.5000
Pm 0.3766 0.1110 0.0000
Pm 0.6234 0.8890 0.0000
Pm 0.8231 0.1769 0.5000
Pm 0.8890 0.6234 0.0000
Pr 0.5000 0.5000 0.5000
Tm 0.3314 0.6686 0.0000
Tm 0.6686 0.3314 0.0000

***

Model B:
Pm7PrTm2 | PBE | relaxed

Values from the calculation:
space group = Cmmm
M_tot = 0.0 μB/cell
calculated volume = 41.3 Å³/atom

a = 9.1740 Å, b = 9.1740 Å, c = 5.7611 Å
α = 90.00°, β = 90.00°, γ = 121.69°
Element x y z (fractional)
Pm 0.0000 0.0000 0.0000
Pm 0.2035 0.4379 0.0000
Pm 0.2704 0.7296 0.5000
Pm 0.4379 0.2035 0.0000
Pm 0.5621 0.7965 0.0000
Pm 0.7296 0.2704 0.5000
Pm 0.7965 0.5621 0.0000
Pr 0.5000 0.5000 0.5000
Tm 0.2040 0.7960 0.0000
Tm 0.7960 0.2040 0.0000

***

The calculated energies rank the structures as follows, beginning with the most stable: model A, model B.

***

Model A:
Pm2Pr3Tm2 | PBE | relaxed

Values from the calculation:
space group = C2/m
M_tot = 0.0 μB/cell
calculated volume = 34.2 Å³/atom

a = 9.0813 Å, b = 9.0813 Å, c = 8.6359 Å
α = 118.11°, β = 118.11°, γ = 22.54°
Element x y z (fractional)
Pm 0.0646 0.0646 0.4120
Pm 0.9354 0.9354 0.5880
Pr 0.2862 0.2862 0.7062
Pr 0.5000 0.5000 0.0000
Pr 0.7138 0.7138 0.2938
Tm 0.3544 0.3544 0.1709
Tm 0.6456 0.6456 0.8291

***

Model B:
Pm2Pr3Tm2 | PBE | relaxed

Values from the calculation:
space group = C2/m
M_tot = 0.0 μB/cell
calculated volume = 33.8 Å³/atom

a = 6.2824 Å, b = 6.2824 Å, c = 10.8707 Å
α = 95.67°, β = 95.67°, γ = 33.71°
Element x y z (fractional)
Pm 0.2165 0.2165 0.3566
Pm 0.7835 0.7835 0.6434
Pr 0.3586 0.3586 0.9294
Pr 0.5000 0.5000 0.5000
Pr 0.6414 0.6414 0.0706
Tm 0.0714 0.0714 0.7856
Tm 0.9286 0.9286 0.2144

***

The calculated energies rank the structures as follows, beginning with the most stable: model B, model A.

***

Model A:
PmPr4Tm5 | PBE | relaxed

Values from the calculation:
space group = P-1
M_tot = 0.0 μB/cell
calculated volume = 34.4 Å³/atom

a = 3.5273 Å, b = 8.7368 Å, c = 11.3956 Å
α = 90.22°, β = 90.01°, γ = 101.60°
Element x y z (fractional)
Pm 0.0000 0.0000 0.0000
Pr 0.1575 0.3198 0.2499
Pr 0.4654 0.9313 0.2524
Pr 0.5346 0.0687 0.7476
Pr 0.8425 0.6802 0.7501
Tm 0.0000 0.0000 0.5000
Tm 0.3264 0.6517 0.0481
Tm 0.3284 0.6554 0.4570
Tm 0.6716 0.3446 0.5430
Tm 0.6736 0.3483 0.9519

***

Model B:
PmPr4Tm5 | PBE | relaxed

Values from the calculation:
space group = P4/mmm
M_tot = 0.0 μB/cell
calculated volume = 32.8 Å³/atom

a = 3.6193 Å, b = 3.6193 Å, c = 25.0409 Å
α = 90.00°, β = 90.00°, γ = 90.00°
Element x y z (fractional)
Pm 0.0000 0.0000 0.0000
Pr 0.0000 0.0000 0.1994
Pr 0.0000 0.0000 0.3998
Pr 0.0000 0.0000 0.6002
Pr 0.0000 0.0000 0.8006
Tm 0.5000 0.5000 0.0987
Tm 0.5000 0.5000 0.2995
Tm 0.5000 0.5000 0.5000
Tm 0.5000 0.5000 0.7005
Tm 0.5000 0.5000 0.9013

***

The calculated energies rank the structures as follows, beginning with the most stable: model B, model A.

***

Model A:
PmPr2Tm2 | PBE | relaxed

Values from the calculation:
space group = C2/m
M_tot = 0.0 μB/cell
calculated volume = 33.2 Å³/atom

a = 3.6047 Å, b = 3.6047 Å, c = 14.7777 Å
α = 90.04°, β = 90.04°, γ = 59.96°
Element x y z (fractional)
Pm 0.0000 0.0000 0.0000
Pr 0.3326 0.3326 0.6078
Pr 0.6674 0.6674 0.3922
Tm 0.3338 0.3338 0.1955
Tm 0.6662 0.6662 0.8045

***

Model B:
PmPr2Tm2 | PBE | relaxed

Values from the calculation:
space group = P4/mbm
M_tot = 0.0 μB/cell
calculated volume = 33.8 Å³/atom

a = 9.3765 Å, b = 9.3765 Å, c = 3.8428 Å
α = 90.00°, β = 90.00°, γ = 90.00°
Element x y z (fractional)
Pm 0.0000 0.0000 0.0000
Pm 0.5000 0.5000 0.0000
Pr 0.1302 0.3698 0.0000
Pr 0.3698 0.8698 0.0000
Pr 0.6302 0.1302 0.0000
Pr 0.8698 0.6302 0.0000
Tm 0.1682 0.6682 0.5000
Tm 0.3318 0.1682 0.5000
Tm 0.6682 0.8318 0.5000
Tm 0.8318 0.3318 0.5000

***

The calculated energies rank the structures as follows, beginning with the most stable: model A, model B.

***

Model A:
Pm4PrTm3 | PBE | relaxed

Values from the calculation:
space group = Pmn2_1
M_tot = 0.0 μB/cell
calculated volume = 33.3 Å³/atom

a = 11.5359 Å, b = 7.3176 Å, c = 6.3083 Å
α = 90.00°, β = 90.00°, γ = 90.00°
Element x y z (fractional)
Pm 0.0000 0.1284 0.0000
Pm 0.0000 0.8708 0.4899
Pm 0.2454 0.8743 0.8296
Pm 0.2546 0.1257 0.3296
Pm 0.5000 0.1292 0.9899
Pm 0.5000 0.8716 0.5000
Pm 0.7454 0.1257 0.3296
Pm 0.7546 0.8743 0.8296
Pr 0.0000 0.3749 0.4948
Pr 0.5000 0.6251 0.9948
Tm 0.0000 0.6218 0.9950
Tm 0.2497 0.3785 0.8282
Tm 0.2503 0.6215 0.3282
Tm 0.5000 0.3782 0.4950
Tm 0.7503 0.3785 0.8282
Tm 0.7497 0.6215 0.3282

***

Model B:
Pm4PrTm3 | PBE | relaxed

Values from the calculation:
space group = Cmmm
M_tot = 0.0 μB/cell
calculated volume = 33.7 Å³/atom

a = 13.3047 Å, b = 13.3047 Å, c = 3.6090 Å
α = 90.00°, β = 90.00°, γ = 155.08°
Element x y z (fractional)
Pm 0.1057 0.8943 0.0000
Pm 0.2250 0.7750 0.0000
Pm 0.7750 0.2250 0.0000
Pm 0.8943 0.1057 0.0000
Pr 0.0000 0.0000 0.5000
Tm 0.3477 0.6523 0.5000
Tm 0.5000 0.5000 0.0000
Tm 0.6523 0.3477 0.5000

***

The calculated energies rank the structures as follows, beginning with the most stable: model A, model B.

***

Model A:
PmPr8Tm2 | PBE | relaxed

Values from the calculation:
space group = C2/m
M_tot = 0.0 μB/cell
calculated volume = 35.4 Å³/atom

a = 9.5425 Å, b = 9.5425 Å, c = 6.0669 Å
α = 105.57°, β = 105.57°, γ = 122.13°
Element x y z (fractional)
Pm 0.0000 0.0000 0.0000
Pr 0.0980 0.3371 0.6805
Pr 0.2057 0.7943 0.0000
Pr 0.3371 0.0980 0.6805
Pr 0.4224 0.4224 0.2046
Pr 0.5776 0.5776 0.7954
Pr 0.6629 0.9020 0.3195
Pr 0.7943 0.2057 0.0000
Pr 0.9020 0.6629 0.3195
Tm 0.3103 0.6897 0.5000
Tm 0.6897 0.3103 0.5000

***

Model B:
PmPr8Tm2 | PBE | relaxed

Values from the calculation:
space group = Immm
M_tot = 0.0 μB/cell
calculated volume = 35.4 Å³/atom

a = 9.5617 Å, b = 9.5617 Å, c = 9.5617 Å
α = 145.05°, β = 128.10°, γ = 64.11°
Element x y z (fractional)
Pm 0.0000 0.0000 0.0000
Pr 0.1582 0.8621 0.2962
Pr 0.1638 0.6638 0.5000
Pr 0.2944 0.5000 0.7944
Pr 0.4341 0.1379 0.2962
Pr 0.5659 0.8621 0.7038
Pr 0.7056 0.5000 0.2056
Pr 0.8362 0.3362 0.5000
Pr 0.8418 0.1379 0.7038
Tm 0.3001 0.3001 0.0000
Tm 0.6999 0.6999 0.0000

***

The calculated energies rank the structures as follows, beginning with the most stable: model B, model A.

***

Model A:
Pm2Pr3Tm3 | PBE | relaxed

Values from the calculation:
space group = Immm
M_tot = 0.0 μB/cell
calculated volume = 33.3 Å³/atom

a = 10.8563 Å, b = 10.8563 Å, c = 10.8563 Å
α = 152.97°, β = 152.66°, γ = 38.83°
Element x y z (fractional)
Pm 0.2492 0.2492 0.0000
Pm 0.7508 0.7508 0.0000
Pr 0.0000 0.0000 0.0000
Pr 0.3767 0.8767 0.5000
Pr 0.6233 0.1233 0.5000
Tm 0.1248 0.6248 0.5000
Tm 0.5000 0.5000 0.0000
Tm 0.8752 0.3752 0.5000

***

Model B:
Pm2Pr3Tm3 | PBE | relaxed

Values from the calculation:
space group = Immm
M_tot = 0.0 μB/cell
calculated volume = 33.5 Å³/atom

a = 8.5451 Å, b = 8.5451 Å, c = 8.5451 Å
α = 138.92°, β = 138.75°, γ = 59.63°
Element x y z (fractional)
Pm 0.2447 0.2447 0.0000
Pm 0.7553 0.7553 0.0000
Pr 0.1289 0.6289 0.5000
Pr 0.5000 0.5000 0.0000
Pr 0.8711 0.3711 0.5000
Tm 0.0000 0.0000 0.0000
Tm 0.3777 0.8777 0.5000
Tm 0.6223 0.1223 0.5000

***

The calculated energies rank the structures as follows, beginning with the most stable: model A, model B.

***

Model A:
Pm6Pr3Tm | PBE | relaxed

Values from the calculation:
space group = C2/m
M_tot = 0.0 μB/cell
calculated volume = 35.0 Å³/atom

a = 6.7465 Å, b = 6.7465 Å, c = 9.2198 Å
α = 105.10°, β = 105.10°, γ = 61.06°
Element x y z (fractional)
Pm 0.0708 0.5511 0.1971
Pm 0.1239 0.1239 0.4175
Pm 0.4489 0.9292 0.8029
Pm 0.5511 0.0708 0.1971
Pm 0.8761 0.8761 0.5825
Pm 0.9292 0.4489 0.8029
Pr 0.4247 0.4247 0.8317
Pr 0.5000 0.5000 0.5000
Pr 0.5753 0.5753 0.1683
Tm 0.0000 0.0000 0.0000

***

Model B:
Pm6Pr3Tm | PBE | relaxed

Values from the calculation:
space group = Cmc2_1
M_tot = 0.0 μB/cell
calculated volume = 34.8 Å³/atom

a = 11.1416 Å, b = 11.1416 Å, c = 6.5092 Å
α = 90.00°, β = 90.00°, γ = 120.62°
Element x y z (fractional)
Pm 0.0354 0.9646 0.5000
Pm 0.0572 0.4758 0.0008
Pm 0.2751 0.7249 0.2849
Pm 0.2861 0.3729 0.1911
Pm 0.3729 0.2861 0.6911
Pm 0.4758 0.0572 0.5008
Pm 0.5242 0.9428 0.0008
Pm 0.6271 0.7139 0.1911
Pm 0.7139 0.6271 0.6911
Pm 0.7249 0.2751 0.7849
Pm 0.9428 0.5242 0.5008
Pm 0.9646 0.0354 0.0000
Pr 0.0585 0.2899 0.5986
Pr 0.2899 0.0585 0.0986
Pr 0.3857 0.6143 0.7116
Pr 0.6143 0.3857 0.2116
Pr 0.7101 0.9415 0.5986
Pr 0.9415 0.7101 0.0986
Tm 0.1916 0.8084 0.7499
Tm 0.8084 0.1916 0.2499

***

The calculated energies rank the structures as follows, beginning with the most stable: model B, model A.

***

Model A:
Pm3Pr6Tm | PBE | relaxed

Values from the calculation:
space group = Cmc2_1
M_tot = 0.0 μB/cell
calculated volume = 35.3 Å³/atom

a = 11.2004 Å, b = 11.2004 Å, c = 6.5541 Å
α = 90.00°, β = 90.00°, γ = 120.94°
Element x y z (fractional)
Pm 0.1153 0.8847 0.5000
Pm 0.2108 0.4438 0.8832
Pm 0.4438 0.2108 0.3832
Pm 0.5562 0.7892 0.8832
Pm 0.7892 0.5562 0.3832
Pm 0.8847 0.1153 0.0000
Pr 0.0215 0.4397 0.2827
Pr 0.1286 0.2123 0.4761
Pr 0.2123 0.1286 0.9761
Pr 0.2214 0.7786 0.0752
Pr 0.4397 0.0215 0.7827
Pr 0.4657 0.5343 0.2861
Pr 0.5343 0.4657 0.7861
Pr 0.5603 0.9785 0.2827
Pr 0.7786 0.2214 0.5752
Pr 0.7877 0.8714 0.4761
Pr 0.8714 0.7877 0.9761
Pr 0.9785 0.5603 0.7827
Tm 0.3085 0.6915 0.5317
Tm 0.6915 0.3085 0.0317

***

Model B:
Pm3Pr6Tm | PBE | relaxed

Values from the calculation:
space group = C2/m
M_tot = 0.0 μB/cell
calculated volume = 35.5 Å³/atom

a = 6.7329 Å, b = 6.7329 Å, c = 9.2236 Å
α = 104.18°, β = 104.18°, γ = 62.33°
Element x y z (fractional)
Pm 0.0000 0.0000 0.0000
Pm 0.0742 0.0742 0.6670
Pm 0.9258 0.9258 0.3330
Pr 0.0469 0.5724 0.6991
Pr 0.3756 0.3756 0.0821
Pr 0.4276 0.9531 0.3009
Pr 0.5724 0.0469 0.6991
Pr 0.6244 0.6244 0.9179
Pr 0.9531 0.4276 0.3009
Tm 0.5000 0.5000 0.5000

***

The calculated energies rank the structures as follows, beginning with the most stable: model A, model B.

***

Model A:
Pm8Pr2Tm | PBE | relaxed

Values from the calculation:
space group = C2/m
M_tot = 0.0 μB/cell
calculated volume = 35.7 Å³/atom

a = 10.2416 Å, b = 10.2416 Å, c = 5.7667 Å
α = 93.62°, β = 93.62°, γ = 40.62°
Element x y z (fractional)
Pm 0.0448 0.0448 0.2335
Pm 0.1107 0.6365 0.2687
Pm 0.3155 0.3155 0.7725
Pm 0.3635 0.8893 0.7313
Pm 0.6365 0.1107 0.2687
Pm 0.6845 0.6845 0.2275
Pm 0.8893 0.3635 0.7313
Pm 0.9552 0.9552 0.7665
Pr 0.2167 0.2167 0.2589
Pr 0.7833 0.7833 0.7411
Tm 0.5000 0.5000 0.0000

***

Model B:
Pm8Pr2Tm | PBE | relaxed

Values from the calculation:
space group = C2/m
M_tot = 0.0 μB/cell
calculated volume = 34.3 Å³/atom

a = 9.6417 Å, b = 9.6417 Å, c = 8.1567 Å
α = 104.70°, β = 104.70°, γ = 31.04°
Element x y z (fractional)
Pm 0.0450 0.0450 0.2290
Pm 0.1350 0.1350 0.6784
Pm 0.3193 0.3193 0.5908
Pm 0.4104 0.4104 0.0490
Pm 0.5896 0.5896 0.9510
Pm 0.6807 0.6807 0.4092
Pm 0.8650 0.8650 0.3216
Pm 0.9550 0.9550 0.7710
Pr 0.2267 0.2267 0.1370
Pr 0.7733 0.7733 0.8630
Tm 0.5000 0.5000 0.5000

***

The calculated energies rank the structures as follows, beginning with the most stable: model B, model A.